[1]
Tb4Pm3: optimized geometry, PBE.

Unit cell a=11.386 b=5.086 c=8.048 alpha=90.00 beta=98.08 gamma=90.00
Space group C2/m (No. 12)
Asymmetric unit:
Tb 0.072 0.000 0.211 [4 per cell]
Tb 0.142 0.500 0.929 [4 per cell]
Pm 0.000 0.500 0.500 [2 per cell]
Pm 0.214 0.000 0.645 [4 per cell]

Values from the calculation:
For the final energy, the calculation gives -4.67 eV per atom. The formation enthalpy at 0 K is 0.11 eV/f.u. For the density of states at the Fermi level, the calculation gives 9.92 states/eV/f.u.

***

[2]
Mg2ZnBiCl: optimized geometry, PBE.

Unit cell a=5.747 b=5.747 c=5.640 alpha=90.00 beta=90.00 gamma=90.00
Space group P4/mmm (No. 123)
Asymmetric unit:
Mg 0.000 0.500 0.000 [2 per cell]
Zn 0.000 0.000 0.500 [1 per cell]
Bi 0.000 0.000 0.000 [1 per cell]
Cl 0.500 0.500 0.500 [1 per cell]

Values from the calculation:
For the final energy, the calculation gives -1.97 eV per atom. For the formation energy from raw total energies, the calculation gives 0.069 eV/atom. For the density of states at the Fermi level, the calculation gives 1.79 states/eV/f.u.

***

[3]
CaRh2Pb: optimized geometry, PBE.

Unit cell a=3.059 b=5.218 c=10.808 alpha=90.00 beta=90.00 gamma=90.00
Space group Immm (No. 71)
Asymmetric unit:
Ca 0.000 0.000 0.000 [2 per cell]
Rh 0.000 0.000 0.257 [4 per cell]
Pb 0.000 0.000 0.500 [2 per cell]

Values from the calculation:
For the final energy, the calculation gives -4.61 eV per atom. The formation enthalpy at 0 K is 1.99 eV/f.u. For the density of states at the Fermi level, the calculation gives 5.10 states/eV/f.u.

***

[4]
Li2ScSi: optimized geometry, PBE.

Unit cell a=2.887 b=4.255 c=5.647 alpha=90.00 beta=90.00 gamma=90.00
Space group Pmmm (No. 47)
Asymmetric unit:
Li 0.000 0.000 0.211 [2 per cell]
Sc 0.500 0.500 0.500 [1 per cell]
Si 0.500 0.500 0.000 [1 per cell]

Values from the calculation:
For the final energy, the calculation gives -3.95 eV per atom. For the formation energy from raw total energies, the calculation gives -0.050 eV/atom. For the density of states at the Fermi level, the calculation gives 2.32 states/eV/f.u.

***

[5]
MoIrAu2: optimized geometry, PBE.

Unit cell a=2.793 b=2.793 c=8.365 alpha=90.00 beta=90.00 gamma=90.00
Space group P4/mmm (No. 123)
Asymmetric unit:
Mo 0.000 0.000 0.000 [1 per cell]
Ir 0.000 0.000 0.500 [1 per cell]
Au 0.500 0.500 0.250 [2 per cell]

Values from the calculation:
For the final energy, the calculation gives -6.22 eV per atom. The formation enthalpy at 0 K is 1.38 eV/f.u. For the density of states at the Fermi level, the calculation gives 3.22 states/eV/f.u.

***

[6]
LaDy5Er6: optimized geometry, PBE.

Unit cell a=6.139 b=10.624 c=11.725 alpha=90.00 beta=100.01 gamma=90.00
Space group C2/m (No. 12)
Asymmetric unit:
La 0.000 0.000 0.000 [2 per cell]
Dy 0.000 0.167 0.500 [4 per cell]
Dy 0.000 0.333 0.000 [4 per cell]
Dy 0.000 0.500 0.500 [2 per cell]
Er 0.249 0.333 0.748 [8 per cell]
Er 0.249 0.500 0.252 [4 per cell]

Values from the calculation:
For the final energy, the calculation gives -4.59 eV per atom. The formation enthalpy at 0 K is 0.27 eV/f.u. For the density of states at the Fermi level, the calculation gives 15.73 states/eV/f.u.

***

[7]
AuI2NF: optimized geometry, PBE.

Unit cell a=6.429 b=6.429 c=3.270 alpha=90.00 beta=90.00 gamma=90.00
Space group P4/mmm (No. 123)
Asymmetric unit:
Au 0.000 0.000 0.000 [1 per cell]
I 0.000 0.500 0.500 [2 per cell]
N 0.500 0.500 0.000 [1 per cell]
F 0.500 0.500 0.500 [1 per cell]

Values from the calculation:
For the final energy, the calculation gives -2.17 eV per atom. For the formation energy from raw total energies, the calculation gives 1.140 eV/atom. For the density of states at the Fermi level, the calculation gives 0.43 states/eV/f.u.

***

[8]
KMg2Cr: optimized geometry, PBE.

Unit cell a=5.745 b=5.745 c=19.746 alpha=90.00 beta=90.00 gamma=90.00
Space group I4_1/amd (No. 141, origin choice 2)
Asymmetric unit:
K 0.000 0.250 0.375 [4 per cell]
Mg 0.000 0.000 0.000 [8 per cell]
Cr 0.000 0.250 0.875 [4 per cell]

Values from the calculation:
For the final energy, the calculation gives -2.71 eV per atom. The formation enthalpy at 0 K is 3.07 eV/f.u. For the density of states at the Fermi level, the calculation gives 1.75 states/eV/f.u.